VASP calculation (PBE-GGA) on a relaxed Mg2TiCo3S8 crystal.

a = 6.9985 Å, b = 6.9985 Å, c = 6.9985 Å
α = 60.74°, β = 60.74°, γ = 60.74°
Last column: nearest neighbours and their distance in Å.
Fractional coordinates of all 14 atoms:
S  0.2682  0.2682  0.2682  3 Co 2.33, 1 Mg 2.45
S  0.7046  0.2560  0.2560  2 Co 2.30, 1 Mg 2.42, 1 Ti 2.44
Co  0.0000  0.5000  0.5000  6 S 2.30-2.33
Co  0.5000  0.0000  0.5000  6 S 2.30-2.33
S  0.2560  0.7046  0.2560  2 Co 2.30, 1 Mg 2.42, 1 Ti 2.44
S  0.7440  0.7440  0.2954  2 Co 2.30, 1 Mg 2.42, 1 Ti 2.44
S  0.2560  0.2560  0.7046  2 Co 2.30, 1 Mg 2.42, 1 Ti 2.44
S  0.7318  0.7318  0.7318  3 Co 2.33, 1 Mg 2.45
Ti  0.5000  0.5000  0.5000  6 S 2.44
Co  0.5000  0.5000  0.0000  6 S 2.30-2.33
Mg  0.1243  0.1243  0.1243  4 S 2.42-2.45
S  0.7440  0.2954  0.7440  2 Co 2.30, 1 Mg 2.42, 1 Ti 2.44
S  0.2954  0.7440  0.7440  2 Co 2.30, 1 Mg 2.42, 1 Ti 2.44
Mg  0.8757  0.8757  0.8757  4 S 2.42-2.45

## Properties
formation energy without anion corrections: -0.759 eV per atom
volume: 246.4 Å³/cell
DFT total energy: -76.04 eV/f.u.